No. 1
This record from Alexandria describes a geometry-optimized K2ReMo structure. The functional is PBE.

```
K2ReMo
1.0
10.606 1.966 -0.170
8.542 6.587 0.170
-9.267 -4.963 2.422
K Mo Re
2 1 1
Direct
0.101 0.101 0.000
0.399 0.399 0.000
0.750 0.250 0.500
0.250 0.750 0.500
```

total magnetization: 0.4 μB per formula unit
ΔE_f: 0.925 eV per atom
calculated total energy: -21.8 eV per cell
space-group type: No. 71
energy above the most stable polymorph in this dataset: 0.0736 eV/atom

---

No. 2
This record from Alexandria describes a geometry-optimized Rb2CaCl6F structure. The functional is PBE.

```
Rb2CaCl6F
1.0
-5.760 1.519 5.669
-4.525 -6.207 -2.935
-3.077 -5.206 4.233
Ca F Rb Cl
1 1 2 6
Direct
0.000 0.000 0.000
0.500 0.500 0.000
0.750 0.250 0.500
0.250 0.750 0.500
0.287 0.287 0.427
0.713 0.713 0.573
0.229 0.229 0.000
0.771 0.771 0.000
0.771 0.229 0.000
0.229 0.771 0.000
```

total magnetization: 1.0 μB per formula unit
E_form (uncorrected): -1.312 eV per atom
calculated total energy: -30.0 eV per cell
space-group type: No. 139